TmTh2Si3Pt4 | Alexandria | PBE | optimized geometry; volume = 19.67 Å³ per atom; SG = P-4m2, No. 115; electronic total energy = -7.051 eV/atom; spin magnetization = 0.0 μB/f.u.
1.0
4.235 0.000 0.000
0.000 4.235 0.000
0.000 0.000 10.964
Tm Th Si Pt
1 2 3 4
Direct
0.000 0.000 0.000
0.000 0.500 0.726
0.500 0.000 0.274
0.000 0.500 0.378
0.500 0.000 0.622
0.500 0.500 0.000
0.000 0.000 0.500
0.000 0.500 0.159
0.500 0.000 0.841
0.500 0.500 0.500